# 1
! ScTe2P | the Alexandria database | SCAN | single point on PBEsol structure; values from VASP
&SYSTEM
  ibrav = 0, nat = 4, ntyp = 3
/
ATOMIC_SPECIES
Sc 44.96 Sc.upf
Te 127.60 Te.upf
P 30.97 P.upf
CELL_PARAMETERS angstrom
1.913 1.104 8.854
-1.913 1.104 8.854
0.000 -2.209 8.854
ATOMIC_POSITIONS angstrom
Sc 0.000 0.000 0.000
Te 0.000 0.000 10.660
Te 0.000 0.000 15.903
P 0.000 0.000 13.282
! Crystal system: trigonal
! E (eV/atom): -24.995
! E_form (uncorrected) (meV/atom): -211
! SG: R-3m
! Total magnetization (μB/f.u.): 0.00

# 2
! ScTe2P | the Alexandria database | SCAN | single point on PBEsol structure; values from VASP
&SYSTEM
  ibrav = 0, nat = 4, ntyp = 3
/
ATOMIC_SPECIES
Sc 44.96 Sc.upf
Te 127.60 Te.upf
P 30.97 P.upf
CELL_PARAMETERS angstrom
3.966 0.000 0.000
0.000 3.684 0.000
-1.142 0.000 6.191
ATOMIC_POSITIONS angstrom
Sc 0.000 0.000 0.000
Te 0.677 1.842 4.638
Te 2.147 1.842 1.553
P -0.571 0.000 3.096
! Crystal system: monoclinic
! E (eV/atom): -25.159
! E_form (uncorrected) (meV/atom): -374
! SG: P2/m
! Total magnetization (μB/f.u.): 0.00